1.
Density functional theory data (SCAN) for Cr2CuRu at its PBEsol-relaxed geometry.

Cell: 2.581 2.581 7.199 Å, 90.00 90.00 90.00°
Fractional coordinates of all 4 atoms:
1 Cu 0.500 0.500 0.000
2 Ru 0.500 0.500 0.500
3 Cr 0.000 0.000 0.250
4 Cr 0.000 0.000 0.750

Properties
The space-group type is P4/mmm (123). Its density of states at the Fermi level is 4.71 states/eV/f.u. Its energy relative to the elements is 29.5 kJ per mole of atoms.

2.
Density functional theory data (SCAN) for MgZn5N4 at its PBEsol-relaxed geometry.

Cell: 4.906 6.572 7.236 Å, 90.00 90.00 90.00°
Fractional coordinates of all 20 atoms:
1 N 0.500 0.000 0.751
2 N 0.500 0.000 0.249
3 N 0.038 0.750 0.500
4 N 0.962 0.250 0.000
5 N 0.500 0.500 0.749
6 N 0.500 0.500 0.251
7 N 0.962 0.750 0.000
8 N 0.038 0.250 0.500
9 Zn 0.733 0.000 0.000
10 Zn 0.251 0.749 0.815
11 Zn 0.267 0.500 0.500
12 Zn 0.749 0.249 0.685
13 Zn 0.749 0.751 0.315
14 Zn 0.251 0.251 0.185
15 Zn 0.749 0.751 0.685
16 Zn 0.251 0.251 0.815
17 Zn 0.749 0.249 0.315
18 Zn 0.251 0.749 0.185
19 Mg 0.278 0.000 0.500
20 Mg 0.722 0.500 0.000

Properties
The space-group type is Pmmn (59). Its density of states at the Fermi level is 0.17 states/eV/f.u. The calculation puts the raw formation energy at -0.14 eV/atom.

3.
Density functional theory data (SCAN) for PdS2O at its PBEsol-relaxed geometry.

Cell: 4.617 4.617 6.731 Å, 110.06 110.06 90.00°
Fractional coordinates of all 8 atoms:
1 S 0.830 0.375 0.250
2 S 0.625 0.580 0.750
3 S 0.420 0.875 0.250
4 S 0.125 0.170 0.750
5 O 0.750 0.250 0.500
6 O 0.500 0.500 0.000
7 Pd 0.000 0.000 0.000
8 Pd 0.250 0.750 0.500

Properties
The space-group type is I-42d (122). Its density of states at the Fermi level is 2.37 states/eV/f.u. The calculation puts the raw formation energy at 0.42 eV/atom.

4.
Density functional theory data (SCAN) for Li3V4SnO12 at its PBEsol-relaxed geometry.

Cell: 5.008 5.310 7.336 Å, 85.40 89.98 89.73°
Last column: magnetic moment on the atom in μB.
Fractional coordinates of all 20 atoms:
1 O 0.691 0.840 0.962  -0.02
2 O 0.197 0.721 0.070  -0.05
3 O 0.309 0.226 0.075  -0.07
4 O 0.303 0.827 0.455  -0.09
5 O 0.889 0.027 0.259  -0.06
6 O 0.611 0.536 0.260  -0.08
7 O 0.376 0.544 0.766  0.00
8 O 0.117 0.044 0.770  -0.01
9 O 0.818 0.348 0.962  0.00
10 O 0.704 0.231 0.579  -0.01
11 O 0.188 0.336 0.462  0.00
12 O 0.805 0.721 0.582  -0.01
13 Li 0.996 0.425 0.212  0.00
14 Li 0.502 0.941 0.722  0.00
15 Li 0.502 0.936 0.211  0.00
16 V 0.508 0.524 0.487  1.01
17 V 0.987 0.980 0.013  0.49
18 V 0.484 0.496 0.018  0.82
19 V 0.015 0.010 0.487  0.91
20 Sn 0.001 0.424 0.718  0.03

Properties
The space-group type is P1 (1). Its density of states at the Fermi level is 1.83 states/eV/f.u. The calculation puts the raw formation energy at -2.42 eV/atom.

5.
Density functional theory data (SCAN) for SrLiTe at its PBEsol-relaxed geometry.

Cell: 5.166 5.166 5.166 Å, 60.00 60.00 60.00°
Fractional coordinates of all 3 atoms:
1 Li 0.000 0.000 0.000
2 Te 0.250 0.250 0.250
3 Sr 0.500 0.500 0.500

Properties
The space-group type is F-43m (216). Its density of states at the Fermi level is 1.61 states/eV/f.u. The calculation puts the raw formation energy at -0.93 eV/atom.

6.
Density functional theory data (SCAN) for TiSiHg3 at its PBEsol-relaxed geometry.

Cell: 5.133 5.133 5.133 Å, 90.00 90.00 90.00°
Last column: magnetic moment on the atom in μB.
Fractional coordinates of all 5 atoms:
1 Si 0.500 0.500 0.500  -0.09
2 Hg 0.500 0.000 0.000  0.05
3 Hg 0.000 0.000 0.500  0.05
4 Hg 0.000 0.500 0.000  0.05
5 Ti 0.000 0.000 0.000  1.14

Properties
The space-group type is Pm-3m (221). Its density of states at the Fermi level is 3.49 states/eV/f.u. The calculation puts the raw formation energy at 0.93 eV/atom.

7.
Density functional theory data (SCAN) for BaSrSe2 at its PBEsol-relaxed geometry.

Cell: 5.390 5.390 5.390 Å, 60.00 60.00 60.00°
Fractional coordinates of all 4 atoms:
1 Ba 0.500 0.500 0.500
2 Se 0.750 0.750 0.750
3 Se 0.000 0.000 0.000
4 Sr 0.250 0.250 0.250

Properties
The space-group type is F-43m (216). The calculation puts the raw formation energy at -1.14 eV/atom.

8.
Density functional theory data (SCAN) for YMoPb2 at its PBEsol-relaxed geometry.

Cell: 3.710 3.710 6.793 Å, 90.00 90.00 90.00°
Fractional coordinates of all 4 atoms:
1 Pb 0.000 0.000 0.962
2 Pb 0.500 0.500 0.244
3 Mo 0.500 0.500 0.770
4 Y 0.000 0.000 0.523

Properties
The space-group type is P4mm (99). Its density of states at the Fermi level is 2.91 states/eV/f.u. Its energy relative to the elements is 20.4 kJ per mole of atoms.

9.
Density functional theory data (SCAN) for CuPt2Rh at its PBEsol-relaxed geometry.

Cell: 3.820 3.820 4.645 Å, 114.28 114.28 90.00°
Fractional coordinates of all 4 atoms:
1 Pt 0.750 0.250 0.500
2 Pt 0.000 0.000 0.000
3 Cu 0.250 0.750 0.500
4 Rh 0.500 0.500 0.000

Properties
The space-group type is I-4m2 (119). Its density of states at the Fermi level is 4.04 states/eV/f.u. Its energy relative to the elements is -7.8 kJ per mole of atoms.

10.
Density functional theory data (SCAN) for CaPbSe3 at its PBEsol-relaxed geometry.

Cell: 5.315 5.315 5.315 Å, 90.00 90.00 90.00°
Last column: magnetic moment on the atom in μB.
Fractional coordinates of all 5 atoms:
1 Ca 0.000 0.000 0.000  0.01
2 Se 0.000 0.000 0.500  0.39
3 Se 0.500 0.000 0.000  0.39
4 Se 0.000 0.500 0.000  0.39
5 Pb 0.500 0.500 0.500  -0.05

Properties
The space-group type is Pm-3m (221). Its density of states at the Fermi level is 3.92 states/eV/f.u. The calculation puts the raw formation energy at -0.30 eV/atom.

11.
Density functional theory data (SCAN) for TeSeBr2 at its PBEsol-relaxed geometry.

Cell: 3.262 5.456 5.456 Å, 107.34 90.00 90.00°
Fractional coordinates of all 4 atoms:
1 Te 0.500 0.500 0.500
2 Br 0.000 0.000 0.500
3 Br 0.000 0.500 0.000
4 Se 0.500 0.000 0.000

Properties
The space-group type is Cmmm (65). Its density of states at the Fermi level is 2.98 states/eV/f.u. The calculation puts the raw formation energy at 0.59 eV/atom.

12.
Density functional theory data (SCAN) for HfTlNF2 at its PBEsol-relaxed geometry.

Cell: 4.228 4.369 4.369 Å, 90.00 90.00 90.00°
Last column: magnetic moment on the atom in μB.
Fractional coordinates of all 5 atoms:
1 F 0.000 0.000 0.500  0.03
2 F 0.000 0.500 0.000  0.03
3 Tl 0.000 0.000 0.000  -0.01
4 Hf 0.500 0.500 0.500  1.17
5 N 0.500 0.000 0.000  -0.07

Properties
The space-group type is P4/mmm (123). Its density of states at the Fermi level is 2.33 states/eV/f.u. The calculation puts the raw formation energy at 0.00 eV/atom.